Entry 1:
BaLa2Pt | PBE | relaxed

The structure in POSCAR format:
```
BaLa2Pt
1.0
4.331 0.000 0.000
-2.165 3.750 0.000
0.000 0.000 30.212
Ba La Pt
3 6 3
direct
0.000 0.000 0.000
0.333 0.667 0.667
0.667 0.333 0.333
0.000 0.000 0.549
0.000 0.000 0.780
0.333 0.667 0.216
0.333 0.667 0.447
0.667 0.333 0.113
0.667 0.333 0.882
0.000 0.000 0.164
0.333 0.667 0.831
0.667 0.333 0.498
```

Values from the calculation:
* total energy: -5.028 eV/atom
* total magnetic moment: 0.00 μB per cell
* space-group type: No. 160
* calculated formation energy: -573.0 meV/atom
* E above lowest polymorph: 0.000 eV per atom

---

Entry 2:
Ba2LaPt9 | PBE | relaxed

The structure in POSCAR format:
```
Ba2LaPt9
1.0
5.555 0.000 0.000
-2.777 4.810 0.000
0.000 0.000 18.430
Ba La Pt
4 2 18
direct
0.333 0.667 0.038
0.333 0.667 0.462
0.667 0.333 0.538
0.667 0.333 0.962
0.333 0.667 0.250
0.667 0.333 0.750
0.000 0.000 0.000
0.000 0.000 0.250
0.000 0.000 0.500
0.000 0.000 0.750
0.167 0.335 0.630
0.167 0.335 0.870
0.167 0.833 0.630
0.167 0.833 0.870
0.333 0.667 0.750
0.335 0.167 0.130
0.335 0.167 0.370
0.665 0.833 0.630
0.665 0.833 0.870
0.667 0.333 0.250
0.833 0.167 0.130
0.833 0.167 0.370
0.833 0.665 0.130
0.833 0.665 0.370
```

Values from the calculation:
* total energy: -5.972 eV/atom
* total magnetic moment: 0.00 μB per cell
* space-group type: No. 194
* calculated formation energy: -710.2 meV/atom

---

Entry 3:
BaLaPt | PBE | relaxed

The structure in POSCAR format:
```
BaLaPt
1.0
7.427 0.000 0.000
0.000 7.427 0.000
0.000 0.000 7.427
Ba La Pt
4 4 4
direct
0.000 0.000 0.000
0.000 0.500 0.500
0.500 0.000 0.500
0.500 0.500 0.000
0.000 0.000 0.500
0.000 0.500 0.000
0.500 0.000 0.000
0.500 0.500 0.500
0.250 0.250 0.750
0.250 0.750 0.250
0.750 0.250 0.250
0.750 0.750 0.750
```

Values from the calculation:
* total energy: -4.847 eV/atom
* total magnetic moment: 0.00 μB per cell
* space-group type: No. 216
* calculated formation energy: -549.7 meV/atom
* E above lowest polymorph: 0.161 eV per atom

---

Entry 4:
BaLa2Pt | PBE | relaxed

The structure in POSCAR format:
```
BaLa2Pt
1.0
4.642 0.000 0.000
0.000 4.642 0.000
0.000 0.000 11.397
Ba La Pt
2 4 2
direct
0.000 0.000 0.000
0.500 0.500 0.500
0.000 0.500 0.250
0.000 0.500 0.750
0.500 0.000 0.250
0.500 0.000 0.750
0.000 0.000 0.500
0.500 0.500 0.000
```

Values from the calculation:
* total energy: -4.573 eV/atom
* total magnetic moment: 0.00 μB per cell
* space-group type: No. 139
* calculated formation energy: -118.5 meV/atom
* E above lowest polymorph: 0.455 eV per atom

---

Entry 5:
BaLa2Pt | PBE | relaxed

The structure in POSCAR format:
```
BaLa2Pt
1.0
3.919 0.000 0.000
0.000 4.071 0.000
0.000 0.000 20.112
Ba La Pt
2 4 2
direct
0.000 0.000 0.000
0.500 0.500 0.500
0.000 0.000 0.661
0.000 0.500 0.822
0.500 0.000 0.322
0.500 0.500 0.161
0.000 0.500 0.270
0.500 0.000 0.770
```

Values from the calculation:
* total energy: -4.866 eV/atom
* total magnetic moment: 0.00 μB per cell
* space-group type: No. 44
* calculated formation energy: -411.5 meV/atom
* E above lowest polymorph: 0.162 eV per atom

---

Entry 6:
BaLa2Pt | PBE | relaxed

The structure in POSCAR format:
```
BaLa2Pt
1.0
3.790 0.000 0.000
0.000 3.792 0.000
-0.014 0.000 10.146
Ba La Pt
1 2 1
direct
0.000 0.000 0.000
0.497 0.500 0.660
0.503 0.500 0.340
0.000 0.000 0.500
```

Values from the calculation:
* total energy: -4.938 eV/atom
* total magnetic moment: 0.00 μB per cell
* space-group type: No. 10
* calculated formation energy: -483.2 meV/atom
* E above lowest polymorph: 0.090 eV per atom

---

Entry 7:
BaLaPt | PBE | relaxed

The structure in POSCAR format:
```
BaLaPt
1.0
3.825 0.000 0.000
0.000 3.825 0.000
0.000 0.000 14.295
Ba La Pt
2 2 2
direct
0.000 0.000 0.000
0.500 0.500 0.500
0.000 0.000 0.248
0.500 0.500 0.748
0.000 0.000 0.653
0.500 0.500 0.153
```

Values from the calculation:
* total energy: -4.939 eV/atom
* total magnetic moment: 0.00 μB per cell
* space-group type: No. 107
* calculated formation energy: -642.4 meV/atom
* E above lowest polymorph: 0.069 eV per atom

---

Entry 8:
BaLaPt2 | PBE | relaxed

The structure in POSCAR format:
```
BaLaPt2
1.0
4.577 0.000 0.000
0.000 4.107 0.000
0.000 0.000 12.088
Ba La Pt
2 2 4
direct
0.000 0.000 0.000
0.000 0.500 0.500
0.500 0.000 0.734
0.500 0.500 0.234
0.000 0.000 0.267
0.000 0.500 0.767
0.500 0.000 0.421
0.500 0.500 0.921
```

Values from the calculation:
* total energy: -5.641 eV/atom
* total magnetic moment: 0.00 μB per cell
* space-group type: No. 38
* calculated formation energy: -907.6 meV/atom
* E above lowest polymorph: 0.042 eV per atom

---

Entry 9:
BaLa2Pt | PBE | relaxed

The structure in POSCAR format:
```
BaLa2Pt
1.0
13.333 0.000 0.000
0.000 3.938 0.000
-2.959 0.000 5.560
Ba La Pt
2 4 2
direct
0.000 0.000 0.000
0.500 0.500 0.000
0.180 0.000 0.679
0.320 0.500 0.321
0.680 0.500 0.679
0.820 0.000 0.321
0.000 0.500 0.500
0.500 0.000 0.500
```

Values from the calculation:
* total energy: -4.928 eV/atom
* total magnetic moment: 0.00 μB per cell
* space-group type: No. 12
* calculated formation energy: -473.8 meV/atom
* E above lowest polymorph: 0.099 eV per atom

---

Entry 10:
BaLa2Pt | PBE | relaxed

The structure in POSCAR format:
```
BaLa2Pt
1.0
4.019 0.000 0.000
0.000 5.462 0.000
0.000 0.000 5.624
Ba La Pt
1 2 1
direct
0.000 0.000 0.000
0.000 0.500 0.500
0.500 0.500 0.000
0.500 0.000 0.500
```

Values from the calculation:
* total energy: -4.560 eV/atom
* total magnetic moment: 0.00 μB per cell
* space-group type: No. 47
* calculated formation energy: -105.5 meV/atom
* E above lowest polymorph: 0.467 eV per atom

---

Entry 11:
BaLaPt2 | PBE | relaxed

The structure in POSCAR format:
```
BaLaPt2
1.0
7.963 0.000 0.000
0.000 7.963 0.000
0.000 0.000 7.996
Ba La Pt
4 4 8
direct
0.000 0.000 0.000
0.000 0.500 0.250
0.500 0.000 0.750
0.500 0.500 0.500
0.000 0.000 0.500
0.000 0.500 0.750
0.500 0.000 0.250
0.500 0.500 0.000
0.214 0.250 0.625
0.250 0.714 0.875
0.250 0.786 0.375
0.286 0.250 0.125
0.714 0.750 0.125
0.750 0.214 0.375
0.750 0.286 0.875
0.786 0.750 0.625
```

Values from the calculation:
* total energy: -5.372 eV/atom
* total magnetic moment: 0.00 μB per cell
* space-group type: No. 122
* calculated formation energy: -638.7 meV/atom
* E above lowest polymorph: 0.311 eV per atom

---

Entry 12:
BaLa2Pt | PBE | relaxed

The structure in POSCAR format:
```
BaLa2Pt
1.0
7.770 0.000 0.000
0.000 7.770 0.000
0.000 0.000 7.770
Ba La Pt
4 8 4
direct
0.000 0.000 0.000
0.000 0.500 0.500
0.500 0.000 0.500
0.500 0.500 0.000
0.000 0.000 0.500
0.000 0.500 0.000
0.250 0.250 0.250
0.250 0.750 0.750
0.500 0.000 0.000
0.500 0.500 0.500
0.750 0.250 0.750
0.750 0.750 0.250
0.250 0.250 0.750
0.250 0.750 0.250
0.750 0.250 0.250
0.750 0.750 0.750
```

Values from the calculation:
* total energy: -4.482 eV/atom
* total magnetic moment: 0.00 μB per cell
* space-group type: No. 216
* calculated formation energy: -27.9 meV/atom
* E above lowest polymorph: 0.545 eV per atom

---

Entry 13:
BaLa2Pt | PBE | relaxed

The structure in POSCAR format:
```
BaLa2Pt
1.0
9.067 0.000 0.000
0.000 9.067 0.000
0.000 0.000 7.123
Ba La Pt
4 8 4
direct
0.000 0.000 0.000
0.000 0.500 0.250
0.500 0.000 0.750
0.500 0.500 0.500
0.170 0.250 0.625
0.250 0.670 0.875
0.250 0.830 0.375
0.330 0.250 0.125
0.670 0.750 0.125
0.750 0.170 0.375
0.750 0.330 0.875
0.830 0.750 0.625
0.000 0.000 0.500
0.000 0.500 0.750
0.500 0.000 0.250
0.500 0.500 0.000
```

Values from the calculation:
* total energy: -4.848 eV/atom
* total magnetic moment: 0.00 μB per cell
* space-group type: No. 122
* calculated formation energy: -393.2 meV/atom
* E above lowest polymorph: 0.180 eV per atom

---

Entry 14:
BaLaPt2 | PBE | relaxed

The structure in POSCAR format:
```
BaLaPt2
1.0
4.340 0.000 0.000
0.000 4.340 0.000
0.000 0.000 11.152
Ba La Pt
2 2 4
direct
0.000 0.000 0.000
0.500 0.500 0.500
0.000 0.500 0.750
0.500 0.000 0.250
0.000 0.000 0.500
0.000 0.500 0.250
0.500 0.000 0.750
0.500 0.500 0.000
```

Values from the calculation:
* total energy: -5.373 eV/atom
* total magnetic moment: 0.00 μB per cell
* space-group type: No. 119
* calculated formation energy: -640.5 meV/atom
* E above lowest polymorph: 0.309 eV per atom

---

| no. | D(E_F) (states/eV/cell) |
| --- | --- |
| 1 | 14.824 |
| 2 | 19.688 |
| 3 | 8.708 |
| 4 | 9.592 |
| 5 | 12.627 |
| 6 | 4.705 |
| 7 | 5.381 |
| 8 | 3.902 |
| 9 | 8.911 |
| 10 | 4.572 |
| 11 | 16.315 |
| 12 | 23.241 |
| 13 | 14.150 |
| 14 | 3.636 |